[1]
{
  "formula": "TcSbHRh2",
  "functional": "GGA-PBE",
  "state": "relaxed",
  "dos_at_fermi_per_ev_cell": 6.36,
  "e_tot_ev_per_atom": -5.00,
  "lattice_angstrom": [[4.7104, 0.0000, 0.0000], [0.0000, 4.7104, 0.0000], [0.0000, 0.0000, 5.0993]],
  "species": ["Tc", "Sb", "H", "Rh", "Rh"],
  "frac_coords": [[0.0000, 0.0000, 0.0000], [0.0000, 0.0000, 0.5000], [0.5000, 0.5000, 0.5000], [0.0000, 0.5000, 0.0000], [0.5000, 0.0000, 0.0000]]
}


[2]
{
  "formula": "TcSbHRh2",
  "functional": "GGA-PBE",
  "state": "relaxed",
  "dos_at_fermi_per_ev_cell": 3.89,
  "e_tot_ev_per_atom": -6.59,
  "lattice_angstrom": [[3.9703, 0.0000, 0.0000], [0.0000, 3.9703, 0.0000], [0.0000, 0.0000, 4.1156]],
  "species": ["Tc", "Sb", "H", "Rh", "Rh"],
  "frac_coords": [[0.0000, 0.0000, 0.0000], [0.5000, 0.5000, 0.0000], [0.0000, 0.0000, 0.5000], [0.0000, 0.5000, 0.5000], [0.5000, 0.0000, 0.5000]]
}


[3]
{
  "formula": "Th4SbH3Rh12",
  "functional": "GGA-PBE",
  "state": "relaxed",
  "dos_at_fermi_per_ev_cell": 16.43,
  "e_tot_ev_per_atom": -7.25,
  "lattice_angstrom": [[-4.3057, 4.3057, 4.3057], [4.3057, -4.3057, 4.3057], [4.3057, 4.3057, -4.3057]],
  "species": ["Th", "Th", "Th", "Th", "Sb", "H", "H", "H", "Rh", "Rh", "Rh", "Rh", "Rh", "Rh", "Rh", "Rh", "Rh", "Rh", "Rh", "Rh"],
  "frac_coords": [[0.0000, 0.0000, 0.5000], [0.0000, 0.5000, 0.0000], [0.5000, 0.0000, 0.0000], [0.5000, 0.5000, 0.5000], [0.0000, 0.0000, 0.0000], [0.0000, 0.5000, 0.5000], [0.5000, 0.0000, 0.5000], [0.5000, 0.5000, 0.0000], [0.0000, 0.2912, 0.2912], [0.0000, 0.7088, 0.7088], [0.2500, 0.5000, 0.7500], [0.2500, 0.7500, 0.5000], [0.2912, 0.0000, 0.2912], [0.2912, 0.2912, 0.0000], [0.5000, 0.2500, 0.7500], [0.5000, 0.7500, 0.2500], [0.7088, 0.0000, 0.7088], [0.7088, 0.7088, 0.0000], [0.7500, 0.2500, 0.5000], [0.7500, 0.5000, 0.2500]]
}


[4]
{
  "formula": "Th2Sb3H2Rh5",
  "functional": "GGA-PBE",
  "state": "relaxed",
  "dos_at_fermi_per_ev_cell": 13.42,
  "e_tot_ev_per_atom": -6.33,
  "lattice_angstrom": [[-2.1343, 2.1343, 11.3809], [2.1343, -2.1343, 11.3809], [2.1343, 2.1343, -11.3809]],
  "species": ["Th", "Th", "Sb", "Sb", "Sb", "H", "H", "Rh", "Rh", "Rh", "Rh", "Rh"],
  "frac_coords": [[0.1935, 0.1935, 0.0000], [0.8065, 0.8065, 0.0000], [0.3371, 0.3371, 0.0000], [0.5000, 0.5000, 0.0000], [0.6629, 0.6629, 0.0000], [0.0790, 0.0790, 0.0000], [0.9210, 0.9210, 0.0000], [0.0000, 0.0000, 0.0000], [0.0859, 0.5859, 0.5000], [0.4141, 0.9141, 0.5000], [0.5859, 0.0859, 0.5000], [0.9141, 0.4141, 0.5000]]
}


[5]
{
  "formula": "Tm2SbHRh6",
  "functional": "GGA-PBE",
  "state": "relaxed",
  "dos_at_fermi_per_ev_cell": 8.00,
  "e_tot_ev_per_atom": -6.52,
  "lattice_angstrom": [[-3.0037, 3.2048, 4.3774], [3.0037, -3.2048, 4.3774], [3.0037, 3.2048, -4.3774]],
  "species": ["Tm", "Tm", "Sb", "H", "Rh", "Rh", "Rh", "Rh", "Rh", "Rh"],
  "frac_coords": [[0.2448, 0.2448, 0.0000], [0.7552, 0.7552, 0.0000], [0.0000, 0.5000, 0.5000], [0.5000, 0.0000, 0.5000], [0.2806, 0.7806, 0.5000], [0.2878, 0.2290, 0.5168], [0.2878, 0.7710, 0.0587], [0.7122, 0.2290, 0.9413], [0.7122, 0.7710, 0.4832], [0.7194, 0.2194, 0.5000]]
}


[6]
{
  "formula": "VSbHRh2",
  "functional": "GGA-PBE",
  "state": "relaxed",
  "dos_at_fermi_per_ev_cell": 5.52,
  "e_tot_ev_per_atom": -6.45,
  "lattice_angstrom": [[3.9621, 0.0000, 0.0000], [0.0000, 3.9621, 0.0000], [0.0000, 0.0000, 4.0923]],
  "species": ["V", "Sb", "H", "Rh", "Rh"],
  "frac_coords": [[0.0000, 0.0000, 0.0000], [0.5000, 0.5000, 0.0000], [0.0000, 0.0000, 0.5000], [0.0000, 0.5000, 0.5000], [0.5000, 0.0000, 0.5000]]
}


[7]
{
  "formula": "Sb2HRhW",
  "functional": "GGA-PBE",
  "state": "relaxed",
  "dos_at_fermi_per_ev_cell": 3.26,
  "e_tot_ev_per_atom": -6.04,
  "lattice_angstrom": [[4.7008, 0.0000, 0.0000], [0.0000, 4.7008, 0.0000], [0.0000, 0.0000, 3.4871]],
  "species": ["Sb", "Sb", "H", "Rh", "W"],
  "frac_coords": [[0.0000, 0.5000, 0.0000], [0.5000, 0.0000, 0.0000], [0.0000, 0.0000, 0.0000], [0.0000, 0.0000, 0.5000], [0.5000, 0.5000, 0.5000]]
}


[8]
{
  "formula": "Y2SbHRh",
  "functional": "GGA-PBE",
  "state": "relaxed",
  "dos_at_fermi_per_ev_cell": 2.91,
  "e_tot_ev_per_atom": -6.27,
  "lattice_angstrom": [[4.9507, 0.0000, 0.0000], [0.0000, 4.9507, 0.0000], [0.0000, 0.0000, 3.8910]],
  "species": ["Y", "Y", "Sb", "H", "Rh"],
  "frac_coords": [[0.0000, 0.5000, 0.0000], [0.5000, 0.0000, 0.0000], [0.0000, 0.0000, 0.5000], [0.5000, 0.5000, 0.0000], [0.5000, 0.5000, 0.5000]]
}